# 1
A plane-wave DFT calculation with GGA-PBE was carried out for BaZr3Tl2O8 after structural relaxation.

Properties
* E_form (uncorrected): -2600 meV per atom
* crystal system: trigonal

Unit cell a=6.5958 b=6.5958 c=7.7184 alpha=64.71 beta=64.71 gamma=60.00
With the nearest neighbours (Å) after each atom.
Fractional coordinates of all 14 atoms:
O: 0.7644 0.7644 0.1601  2 Zr 2.11
O: 0.3110 0.7644 0.1601  2 Zr 2.11
O: 0.2385 0.6888 0.8342  2 Zr 2.13
O: 0.7237 0.7237 0.8288  3 Zr 2.22
O: 0.2385 0.2385 0.8342  2 Zr 2.13
O: 0.7644 0.3110 0.1601  2 Zr 2.11
O: 0.2814 0.2814 0.1559  3 Zr 2.17
O: 0.6888 0.2385 0.8342  2 Zr 2.13
Zr: 0.5001 0.9992 0.0006  6 O 2.11-2.22
Zr: 0.9992 0.5001 0.0006  6 O 2.11-2.22
Zr: 0.5001 0.5001 0.0006  6 O 2.11-2.22
Tl: 0.4899 0.4899 0.5303  3 O 2.67
Tl: 0.1184 0.1184 0.6449  3 O 2.45
Ba: 0.8742 0.8742 0.3773  3 O 2.54

=====

# 2
A plane-wave DFT calculation with GGA-PBE was carried out for Ba3ZrTl2O9 after structural relaxation.

Properties
* E_form (uncorrected): -1917 meV per atom
* crystal system: trigonal

Unit cell a=6.1165 b=6.1165 c=7.5280 alpha=90.00 beta=90.00 gamma=120.00
With the nearest neighbours (Å) after each atom.
Fractional coordinates of all 15 atoms:
O: 0.1613 0.3226 0.3389  1 Zr 2.10, 1 Tl 2.20
O: 0.5000 0.5000 0.0000  2 Tl 2.20
O: 0.5000 0.0000 0.0000  2 Tl 2.20
O: 0.8387 0.6774 0.6611  1 Zr 2.10, 1 Tl 2.20
O: 0.8387 0.1613 0.6611  1 Zr 2.10, 1 Tl 2.20
O: 0.6774 0.8387 0.3389  1 Zr 2.10, 1 Tl 2.20
O: 0.0000 0.5000 0.0000  2 Tl 2.20
O: 0.1613 0.8387 0.3389  1 Zr 2.10, 1 Tl 2.20
O: 0.3226 0.1613 0.6611  1 Zr 2.10, 1 Tl 2.20
Ba: 0.6667 0.3333 0.3247  12 O 3.02-3.12
Ba: 0.0000 0.0000 0.0000  12 O 3.06-3.07
Ba: 0.3333 0.6667 0.6753  12 O 3.02-3.12
Tl: 0.6667 0.3333 0.8251  6 O 2.20
Tl: 0.3333 0.6667 0.1749  6 O 2.20
Zr: 0.0000 0.0000 0.5000  6 O 2.10

=====

# 3
A plane-wave DFT calculation with GGA-PBE was carried out for BaTmO after structural relaxation.

Properties
* E_form (uncorrected): -1855 meV per atom
* crystal system: monoclinic

Unit cell a=6.6236 b=9.9960 c=6.3165 alpha=90.66 beta=90.00 gamma=90.00
With the nearest neighbours (Å) after each atom.
Fractional coordinates of all 12 atoms:
Ba: 0.4653 0.1711 0.2538  1 O 2.67
Ba: 0.0347 0.1711 0.7538  1 O 2.67
Ba: 0.9653 0.8289 0.2462  1 O 2.67
Ba: 0.5347 0.8289 0.7462  1 O 2.67
Tm: 0.3956 0.5574 0.2181  3 O 2.15-2.22
Tm: 0.8956 0.4426 0.2819  3 O 2.15-2.22
Tm: 0.6044 0.4426 0.7819  3 O 2.15-2.22
Tm: 0.1044 0.5574 0.7181  3 O 2.15-2.22
O: 0.3850 0.5978 0.8852  3 Tm 2.15-2.22
O: 0.1150 0.5978 0.3852  3 Tm 2.15-2.22
O: 0.6150 0.4022 0.1148  3 Tm 2.15-2.22
O: 0.8850 0.4022 0.6148  3 Tm 2.15-2.22

=====

# 4
A plane-wave DFT calculation with GGA-PBE was carried out for Ba4Tm6O13 after structural relaxation.

Properties
* E_form (uncorrected): -3217 meV per atom
* crystal system: orthorhombic

Unit cell a=6.0575 b=12.3430 c=12.6293 alpha=119.25 beta=103.88 gamma=90.00
With the nearest neighbours (Å) after each atom.
Fractional coordinates of all 46 atoms:
O: 0.8156 0.0000 0.0000  4 Tm 2.28-2.36
O: 0.3125 0.3839 0.9016  3 Tm 2.18-2.33
O: 0.5225 0.7692 0.5301  2 Tm 2.15
O: 0.5022 0.5031 0.5072  2 Tm 2.19
O: 0.3156 0.0000 0.0000  4 Tm 2.28-2.36
O: 0.6350 0.9849 0.2614  1 Tm 2.08
O: 0.9923 0.2308 0.4699  2 Tm 2.15
O: 0.6268 0.5331 0.2978  2 Tm 2.11-2.33
O: 0.1268 0.7647 0.2978  2 Tm 2.11-2.33
O: 0.4950 0.9958 0.4928  2 Tm 2.19
O: 0.1350 0.2765 0.2614  1 Tm 2.08
O: 0.4923 0.2390 0.4699  2 Tm 2.15
O: 0.3736 0.0151 0.7386  1 Tm 2.08
O: 0.3290 0.4669 0.7022  2 Tm 2.11-2.33
O: 0.3566 0.7423 0.9364  3 Tm 2.18-2.26
O: 0.8736 0.7235 0.7386  1 Tm 2.08
O: 0.8566 0.1942 0.9364  3 Tm 2.18-2.26
O: 0.9950 0.4969 0.4928  2 Tm 2.19
O: 0.9202 0.8058 0.0636  3 Tm 2.18-2.26
O: 0.4202 0.2577 0.0636  3 Tm 2.18-2.26
O: 0.8125 0.5176 0.9016  3 Tm 2.18-2.33
O: 0.8290 0.2353 0.7022  2 Tm 2.11-2.33
O: 0.0022 0.0042 0.5072  2 Tm 2.19
O: 0.9110 0.4824 0.0984  3 Tm 2.18-2.33
O: 0.0225 0.7610 0.5301  2 Tm 2.15
O: 0.4110 0.6161 0.0984  3 Tm 2.18-2.33
Ba: 0.1632 0.5467 0.3328  7 O 2.69-2.99
Ba: 0.1609 0.0144 0.3174  6 O 2.72-2.97
Ba: 0.6632 0.7861 0.3328  7 O 2.69-2.99
Ba: 0.3435 0.6970 0.6826  6 O 2.72-2.97
Ba: 0.8303 0.4533 0.6672  7 O 2.69-2.99
Ba: 0.6609 0.3030 0.3174  6 O 2.72-2.97
Ba: 0.3303 0.2139 0.6672  7 O 2.69-2.99
Ba: 0.8435 0.9856 0.6826  6 O 2.72-2.97
Tm: 0.5591 0.4466 0.1001  5 O 2.11-2.33
Tm: 0.9590 0.3465 0.8999  5 O 2.11-2.33
Tm: 0.0414 0.8360 0.9298  4 O 2.08-2.28
Tm: 0.2574 0.8819 0.5174  6 O 2.15-2.36
Tm: 0.4590 0.5534 0.8999  5 O 2.11-2.33
Tm: 0.1116 0.1640 0.0702  4 O 2.08-2.28
Tm: 0.6116 0.9063 0.0702  4 O 2.08-2.28
Tm: 0.5414 0.0937 0.9298  4 O 2.08-2.28
Tm: 0.7399 0.1181 0.4826  6 O 2.15-2.36
Tm: 0.7574 0.6356 0.5174  6 O 2.15-2.36
Tm: 0.0591 0.6535 0.1001  5 O 2.11-2.33
Tm: 0.2399 0.3644 0.4826  6 O 2.15-2.36

=====

# 5
A plane-wave DFT calculation with GGA-PBE was carried out for BaTm2O4 after structural relaxation.

Properties
* ΔE to the lowest computed polymorph: 42 meV/atom
* E_form (uncorrected): -3298 meV per atom
* crystal system: orthorhombic

Unit cell a=5.8596 b=5.8596 c=11.4038 alpha=90.00 beta=90.00 gamma=146.20
With the nearest neighbours (Å) after each atom.
Fractional coordinates of all 14 atoms:
O: 0.0000 0.0000 0.5000  4 Tm 2.41
O: 0.7403 0.2597 0.6006  3 Tm 2.23-2.28
O: 0.7403 0.2597 0.8994  3 Tm 2.23-2.28
O: 0.2597 0.7403 0.3994  3 Tm 2.23-2.28
O: 0.0000 0.0000 0.0000  4 Tm 2.41
O: 0.2597 0.7403 0.1006  3 Tm 2.23-2.28
O: 0.4339 0.5661 0.7500  2 Tm 2.19
O: 0.5661 0.4339 0.2500  2 Tm 2.19
Tm: 0.3652 0.6348 0.5704  6 O 2.19-2.41
Tm: 0.3652 0.6348 0.9296  6 O 2.19-2.41
Tm: 0.6348 0.3652 0.4296  6 O 2.19-2.41
Tm: 0.6348 0.3652 0.0704  6 O 2.19-2.41
Ba: 0.1118 0.8882 0.7500  6 O 2.62-2.81
Ba: 0.8882 0.1118 0.2500  6 O 2.62-2.81

=====

# 6
A plane-wave DFT calculation with GGA-PBE was carried out for Ba5TmO6 after structural relaxation.

Properties
* E_form (uncorrected): -2570 meV per atom
* crystal system: monoclinic

Unit cell a=6.6226 b=6.6689 c=6.6830 alpha=60.07 beta=80.48 gamma=70.64
With the nearest neighbours (Å) after each atom.
Fractional coordinates of all 12 atoms:
Ba: 0.5000 0.1641 0.6717  4 O 2.69-2.72
Ba: 0.0000 0.3324 0.3352  6 O 2.75-2.79
Ba: 0.5000 0.5000 0.0000  6 O 2.73-3.06
Ba: 0.5000 0.8359 0.3283  4 O 2.69-2.72
Ba: 0.0000 0.6676 0.6648  6 O 2.75-2.79
O: 0.2168 0.6431 0.2837  1 Tm 2.34
O: 0.7832 0.0732 0.2837  1 Tm 2.34
O: 0.2247 0.2112 0.0000  1 Tm 2.36
O: 0.2168 0.9268 0.7163  1 Tm 2.34
O: 0.7832 0.3569 0.7163  1 Tm 2.34
O: 0.7753 0.7888 0.0000  1 Tm 2.36
Tm: 0.0000 0.0000 0.0000  6 O 2.34-2.36

=====

# 7
A plane-wave DFT calculation with GGA-PBE was carried out for BaTmO2 after structural relaxation.

Properties
* ΔE to the lowest computed polymorph: 0 meV/atom
* E_form (uncorrected): -2788 meV per atom
* crystal system: trigonal

Unit cell a=3.4957 b=3.4957 c=6.6751 alpha=74.82 beta=74.82 gamma=60.00
With the nearest neighbours (Å) after each atom.
Fractional coordinates of all 4 atoms:
Ba: 0.5000 0.5000 0.5000  6 O 2.88
O: 0.2745 0.2745 0.1764  3 Tm 2.31
O: 0.7255 0.7255 0.8236  3 Tm 2.31
Tm: 0.0000 0.0000 0.0000  6 O 2.31

=====

# 8
A plane-wave DFT calculation with GGA-PBE was carried out for Ba2Tm2O5 after structural relaxation.

Properties
* E_form (uncorrected): -3088 meV per atom
* crystal system: monoclinic

Unit cell a=4.3834 b=6.6306 c=6.5466 alpha=109.15 beta=90.00 gamma=109.30
With the nearest neighbours (Å) after each atom.
Fractional coordinates of all 9 atoms:
Tm: 0.8544 0.7087 0.1232  5 O 2.10-2.24
Tm: 0.1456 0.2913 0.8768  5 O 2.10-2.24
Ba: 0.3842 0.7683 0.6775  4 O 2.64-2.77
Ba: 0.6158 0.2317 0.3225  4 O 2.64-2.77
O: 0.1524 0.3049 0.5613  1 Tm 2.10
O: 0.0000 0.0000 0.0000  2 Tm 2.23
O: 0.8476 0.6951 0.4387  1 Tm 2.10
O: 0.3301 0.6602 0.0536  3 Tm 2.19-2.24
O: 0.6699 0.3398 0.9464  3 Tm 2.19-2.24